1.
Below is a relaxed structure of Ce3Pu2Sb3, with properties calculated at the PBE level.

Cell: 6.317 9.330 9.330 Å, 120.00 90.00 90.00°
Each line ends with the local moment (μB).
Fractional positions:
Sb 0.750 0.000 0.618  -0.07
Ce 0.250 0.736 0.000  1.08
Ce 0.750 0.000 0.264  1.08
Sb 0.250 0.000 0.382  -0.07
Sb 0.250 0.618 0.618  -0.07
Ce 0.750 0.264 0.000  1.08
Sb 0.750 0.618 0.000  -0.07
Pu 0.000 0.333 0.667  5.74
Pu 0.000 0.667 0.333  5.74
Pu 0.500 0.667 0.333  5.74
Ce 0.750 0.736 0.736  1.08
Ce 0.250 0.264 0.264  1.08
Sb 0.250 0.382 0.000  -0.07
Pu 0.500 0.333 0.667  5.74
Ce 0.250 0.000 0.736  1.08
Sb 0.750 0.382 0.382  -0.07

**SG**: P6_3/mcm, No. 193
**Spin magnetization**: 2.110 μB per atom
**Formation energy from raw total energies**: -555 kJ/mol of formula units
**Crystal system**: hexagonal
**V**: 29.77 A^3/atom

---

2.
Below is a relaxed structure of SiTePt, with properties calculated at the PBE level.

Cell: 6.382 6.382 3.143 Å, 75.75 75.74 28.51°
Fractional positions:
Pt 0.971 0.971 0.029
Te 0.660 0.660 0.340
Si 0.369 0.369 0.631

**SG**: I4mm, No. 107
**Spin magnetization**: 0.000 μB per atom
**Formation energy from raw total energies**: 20 kJ/mol of formula units
**Crystal system**: tetragonal
**V**: 19.70 A^3/atom

---

Question: Among the records above, which one has the lowest V?
Answer: SiTePt

---

Please write out number 1 again, unchanged.
Below is a relaxed structure of Ce3Pu2Sb3, with properties calculated at the PBE level.

Cell: 6.317 9.330 9.330 Å, 120.00 90.00 90.00°
Each line ends with the local moment (μB).
Fractional positions:
Sb 0.750 0.000 0.618  -0.07
Ce 0.250 0.736 0.000  1.08
Ce 0.750 0.000 0.264  1.08
Sb 0.250 0.000 0.382  -0.07
Sb 0.250 0.618 0.618  -0.07
Ce 0.750 0.264 0.000  1.08
Sb 0.750 0.618 0.000  -0.07
Pu 0.000 0.333 0.667  5.74
Pu 0.000 0.667 0.333  5.74
Pu 0.500 0.667 0.333  5.74
Ce 0.750 0.736 0.736  1.08
Ce 0.250 0.264 0.264  1.08
Sb 0.250 0.382 0.000  -0.07
Pu 0.500 0.333 0.667  5.74
Ce 0.250 0.000 0.736  1.08
Sb 0.750 0.382 0.382  -0.07

**SG**: P6_3/mcm, No. 193
**Spin magnetization**: 2.110 μB per atom
**Formation energy from raw total energies**: -555 kJ/mol of formula units
**Crystal system**: hexagonal
**V**: 29.77 A^3/atom